DFT (meta-GGA SCAN) results for Sc3Cl at its PBEsol-relaxed geometry.

Lattice parameters (Å, degrees): 3.2860 3.2860 8.8905 90.00 90.00 120.00
With the nearest neighbours (Å) after each atom.
Fractional coordinates of all 4 atoms:
Sc 0.3333 0.6667 0.2202  3 Cl 2.73
Sc 0.0000 0.0000 0.5000  12 Sc 3.13-3.29
Sc 0.3333 0.6667 0.7798  3 Cl 2.73
Cl 0.0000 0.0000 0.0000  6 Sc 2.73

## Properties
- formation energy from raw total energies (eV/atom) = -0.71
- space group = P-6m2
- DOS(E_F) (states/eV/atom) = 1.1945